# Cr2CuGeF, relaxed, DFT PBE with a Hubbard U
data_Cr2CuGeF
_chemical_formula_sum 'Cr2 Cu1 Ge1 F1'
_symmetry_space_group_name_H-M 'P 4/m m m'
_symmetry_Int_Tables_number 123
_symmetry_space_group_name_Hall '-P 4 2'
_cell_length_a 4.962
_cell_length_b 4.962
_cell_length_c 4.313
_cell_angle_alpha 90.00
_cell_angle_beta 90.00
_cell_angle_gamma 90.00
loop_
_atom_site_label
_atom_site_type_symbol
_atom_site_fract_x
_atom_site_fract_y
_atom_site_fract_z
_atom_site_occupancy
Cr1 Cr 0.000 0.500 0.000 1
Cu1 Cu 0.000 0.000 0.000 1
Ge1 Ge 0.000 0.000 0.500 1
F1 F 0.500 0.500 0.500 1
# * E_tot: -4.830 eV per atom